Entry 1:
First-principles (PBE-GGA) data for TaCrPb2 after structural relaxation, as listed in Alexandria.

Unit cell a=3.874 b=5.133 c=8.827 alpha=90.00 beta=90.00 gamma=90.00
Space group Cmmm (No. 65)
Unique sites:
Ta: 0.000 0.000 0.000 (multiplicity 2)
Cr: 0.000 0.000 0.500 (multiplicity 2)
Pb: 0.000 0.500 0.255 (multiplicity 4)

Its magnetization is 7.97 Bohr magnetons per cell. The polymorph energy (0 for the lowest one) is 343 meV per atom. For the energy relative to the elements, the calculation gives 0.69 eV/atom.

---

Entry 2:
First-principles (PBE-GGA) data for TaCr2Pb after structural relaxation, as listed in Alexandria.

Unit cell a=3.0907 b=3.0907 c=27.0955 alpha=90.00 beta=90.00 gamma=120.00
Space group R-3m (No. 166, hexagonal axes)
Unique sites:
Ta: 0.0000 0.0000 0.0000 (multiplicity 3)
Cr: 0.0000 0.0000 0.2589 (multiplicity 6)
Pb: 0.0000 0.0000 0.5000 (multiplicity 3)

Its magnetization is 14.65 Bohr magnetons per cell. For the energy relative to the elements, the calculation gives 0.64 eV/atom.

---

Entry 3:
First-principles (PBE-GGA) data for TaCrPb2 after structural relaxation, as listed in Alexandria.

Unit cell a=3.276 b=3.276 c=8.607 alpha=90.00 beta=90.00 gamma=90.00
Space group P4mm (No. 99)
Unique sites:
Ta: 0.000 0.000 0.000 (multiplicity 1)
Cr: 0.500 0.500 0.132 (multiplicity 1)
Pb: 0.000 0.000 0.366 (multiplicity 1)
Pb: 0.500 0.500 0.746 (multiplicity 1)

Its magnetization is 0.51 Bohr magnetons per cell. The polymorph energy (0 for the lowest one) is 0 meV per atom. For the energy relative to the elements, the calculation gives 0.35 eV/atom.

---

Entry 4:
First-principles (PBE-GGA) data for TaCrPb2 after structural relaxation, as listed in Alexandria.

Unit cell a=4.176 b=4.176 c=9.885 alpha=90.00 beta=90.00 gamma=90.00
Space group I-4m2 (No. 119)
Unique sites:
Ta: 0.000 0.000 0.000 (multiplicity 2)
Cr: 0.000 0.500 0.750 (multiplicity 2)
Pb: 0.000 0.000 0.500 (multiplicity 2)
Pb: 0.000 0.500 0.250 (multiplicity 2)

Its magnetization is 7.36 Bohr magnetons per cell. The polymorph energy (0 for the lowest one) is 367 meV per atom. For the energy relative to the elements, the calculation gives 0.72 eV/atom.

---

Entry 5:
First-principles (PBE-GGA) data for TaCr2Pb after structural relaxation, as listed in Alexandria.

Unit cell a=4.429 b=4.429 c=3.350 alpha=90.00 beta=90.00 gamma=90.00
Space group P4/mmm (No. 123)
Unique sites:
Ta: 0.000 0.000 0.000 (multiplicity 1)
Cr: 0.000 0.500 0.500 (multiplicity 2)
Pb: 0.500 0.500 0.000 (multiplicity 1)

Its magnetization is 3.00 Bohr magnetons per cell. For the energy relative to the elements, the calculation gives 0.43 eV/atom.

---

Entry 6:
First-principles (PBE-GGA) data for TaCrPb after structural relaxation, as listed in Alexandria.

Unit cell a=3.1271 b=3.1271 c=7.1056 alpha=90.00 beta=90.00 gamma=120.00
Space group P3m1 (No. 156)
Unique sites:
Ta: 0.0000 0.0000 0.0000 (multiplicity 1)
Cr: 0.6667 0.3333 0.2880 (multiplicity 1)
Pb: 0.3333 0.6667 0.6375 (multiplicity 1)

Its magnetization is 3.10 Bohr magnetons per cell. The polymorph energy (0 for the lowest one) is 104 meV per atom. For the energy relative to the elements, the calculation gives 0.65 eV/atom.